Entry 1:
Hg2PtBr | PBE-GGA | relaxed

Values from the calculation:
The formation energy (no corrections) comes out at 194 meV/atom. As for the energy above the most stable polymorph in this dataset: 198.6 meV per atom.

The structure in extended XYZ format:
```
8
Lattice="-2.799 2.799 8.107 2.799 -2.799 8.107 2.799 2.799 -8.107" Properties=species:S:1:pos:R:3 pbc="T T T"
Hg 4.198 0.955 -2.027
Hg 0.955 1.399 2.027
Hg -1.399 1.844 6.080
Hg 1.844 1.399 10.134
Pt 0.000 0.000 0.000
Pt 0.000 2.799 4.054
Br 2.799 0.000 4.054
Br 0.000 0.000 8.107
```

***

Entry 2:
NbGeMoOs | PBE-GGA | relaxed

Values from the calculation:
The formation energy from the elements is -35 meV per atom.

The structure in extended XYZ format:
```
4
Lattice="0.000 3.152 3.152 3.152 0.000 3.152 3.152 3.152 0.000" Properties=species:S:1:pos:R:3 pbc="T T T"
Nb 0.000 0.000 0.000
Ge 3.152 3.152 3.152
Mo 4.729 4.729 4.729
Os 1.576 1.576 1.576
```

***

Entry 3:
AlGa2Pb | PBE-GGA | relaxed

Values from the calculation:
As for the energy above the most stable polymorph in this dataset: 0.0 meV per atom. The formation energy from the elements is 98 meV per atom.

The structure in extended XYZ format:
```
4
Lattice="3.563 0.000 0.000 0.000 3.563 0.000 0.000 0.000 6.950" Properties=species:S:1:pos:R:3 pbc="T T T"
Al 0.000 0.000 0.000
Ga 1.781 1.781 1.379
Ga 1.781 1.781 5.571
Pb 0.000 0.000 3.475
```

***

| no. | raw total energy (Ry per atom) |
| --- | --- |
| 1 | -0.1385 |
| 2 | -0.6778 |
| 3 | -0.2409 |